No. 1
Computed, not measured: a relaxed structure of Cs2Na3PuO6 at the GGA-PBE level of DFT.

Cell: 7.309 7.309 5.875 Å, 100.39 100.39 125.64°
Sites, in units of the cell vectors:
Cs (0.177, 0.823, 0.000)
Cs (0.823, 0.177, 0.000)
Na (0.000, 0.000, 0.500)
Na (0.387, 0.613, 0.500)
Na (0.613, 0.387, 0.500)
Pu (0.500, 0.500, 0.000)
O (0.202, 0.421, 0.763)
O (0.303, 0.303, 0.188)
O (0.421, 0.202, 0.763)
O (0.579, 0.798, 0.237)
O (0.697, 0.697, 0.812)
O (0.798, 0.579, 0.237)

Results
Magnetic moment ... 1.0 μB per cell
V ... 234 Å³/f.u.
SG ... C2/m
Raw formation energy ... -1.905 eV/atom

No. 2
Computed, not measured: a relaxed structure of InAg14Au at the GGA-PBE level of DFT.

Cell: 9.656 5.905 5.905 Å, 59.73 90.00 90.00°
Sites, in units of the cell vectors:
In (0.000, 0.000, 0.000)
Ag (0.000, 0.000, 0.499)
Ag (0.000, 0.499, 0.000)
Ag (0.252, 0.665, 0.665)
Ag (0.253, 0.165, 0.664)
Ag (0.253, 0.664, 0.165)
Ag (0.254, 0.166, 0.166)
Ag (0.500, 0.331, 0.331)
Ag (0.500, 0.331, 0.831)
Ag (0.500, 0.831, 0.331)
Ag (0.500, 0.831, 0.831)
Ag (0.746, 0.166, 0.166)
Ag (0.747, 0.165, 0.664)
Ag (0.747, 0.664, 0.165)
Ag (0.748, 0.665, 0.665)
Au (0.000, 0.499, 0.499)

Results
Magnetic moment ... 0.0 μB per cell
V ... 291 Å³/f.u.
SG ... Amm2
Formation enthalpy at 0 K ... -0.007 eV per atom

No. 3
Computed, not measured: a relaxed structure of CaGe2PO at the GGA-PBE level of DFT.

Cell: 4.627 4.627 5.564 Å, 90.00 90.00 90.00°
Sites, in units of the cell vectors:
Ca (0.000, 0.000, 0.000)
Ge (0.000, 0.500, 0.500)
Ge (0.500, 0.000, 0.500)
P (0.000, 0.000, 0.500)
O (0.500, 0.500, 0.000)

Results
Magnetic moment ... 0.0 μB per cell
V ... 119 Å³/f.u.
SG ... P4/mmm
Raw formation energy ... 0.237 eV/atom

No. 4
Computed, not measured: a relaxed structure of Ho2ZnOs at the GGA-PBE level of DFT.

Cell: 9.611 9.611 9.611 Å, 23.88 23.88 23.88°
Sites, in units of the cell vectors:
Ho (0.114, 0.114, 0.114)
Ho (0.886, 0.886, 0.886)
Zn (0.000, 0.000, 0.000)
Os (0.500, 0.500, 0.500)

Results
Magnetic moment ... 0.0 μB per cell
V ... 128 Å³/f.u.
SG ... R-3m
Formation enthalpy at 0 K ... 0.267 eV per atom